[1]
First-principles (meta-GGA SCAN) data for a PBEsol-optimized structure of Ag2MoP, as listed in Alexandria via LeMat-Bulk.

The structure belongs to space group Pmmm (No. 47); the cell edges are 2.949, 4.233 and 4.932 Å and the angles 90.00°, 90.00° and 90.00°. Symmetry generates all atoms from Ag at (0.000, 0.000, 0.000), Ag at (0.500, 0.500, 0.000), Mo at (0.000, 0.500, 0.500) and P at (0.500, 0.000, 0.500).

As for the formation energy: 399 meV/atom. The magnetic moment comes out at 0.00 μB/cell.

***

[2]
First-principles (meta-GGA SCAN) data for a PBEsol-optimized structure of Ag2MoP, as listed in Alexandria via LeMat-Bulk.

The structure belongs to space group P4mm (No. 99); the cell edges are 3.076, 3.076 and 6.588 Å and the angles 90.00°, 90.00° and 90.00°. Symmetry generates all atoms from Ag at (0.000, 0.000, 0.000), Ag at (0.500, 0.500, 0.270), Mo at (0.000, 0.000, 0.556) and P at (0.500, 0.500, 0.720).

As for the formation energy: 126 meV/atom. The magnetic moment comes out at 0.00 μB/cell.

***

[3]
First-principles (meta-GGA SCAN) data for a PBEsol-optimized structure of Ag2MoP, as listed in Alexandria via LeMat-Bulk.

The structure belongs to space group F-43m (No. 216); the cell edges are 6.222, 6.222 and 6.222 Å and the angles 90.00°, 90.00° and 90.00°. Symmetry generates all atoms from Ag at (0.000, 0.000, 0.000), Ag at (0.250, 0.250, 0.250), Mo at (0.250, 0.250, 0.750) and P at (0.000, 0.000, 0.500).

As for the formation energy: 525 meV/atom. The magnetic moment comes out at 0.00 μB/cell.